# La2NdClO4

A geometry-optimized La2NdClO4 structure (GGA-PBE, Alexandria via LeMat-Bulk).

CIF file:
```
data_La2NdClO4
_chemical_formula_sum 'La2 Nd1 Cl1 O4'
_cell_length_a 4.073
_cell_length_b 4.073
_cell_length_c 9.390
_cell_angle_alpha 90.00
_cell_angle_beta 90.00
_cell_angle_gamma 90.00
_space_group_name_H-M_alt 'P 4/m m m'
_space_group_IT_number 123
_space_group_name_Hall '-P 4 2'
loop_
_atom_site_label
_atom_site_fract_x
_atom_site_fract_y
_atom_site_fract_z
_atom_site_occupancy
La1 0.000 0.000 0.234 1
Nd1 0.500 0.500 0.500 1
Cl1 0.500 0.500 0.000 1
O1 0.000 0.500 0.345 1
```


# La2NdP2Cl2

A geometry-optimized La2NdP2Cl2 structure (GGA-PBE, Alexandria via LeMat-Bulk).

CIF file:
```
data_La2NdP2Cl2
_chemical_formula_sum 'La4 Nd2 P4 Cl4'
_cell_length_a 5.490
_cell_length_b 5.490
_cell_length_c 14.403
_cell_angle_alpha 90.00
_cell_angle_beta 90.00
_cell_angle_gamma 90.00
_space_group_name_H-M_alt 'I 4/m m m'
_space_group_IT_number 139
_space_group_name_Hall '-I 4 2'
loop_
_atom_site_label
_atom_site_fract_x
_atom_site_fract_y
_atom_site_fract_z
_atom_site_occupancy
La1 0.000 0.000 0.103 1
Nd1 0.000 0.000 0.500 1
P1 0.000 0.500 0.000 1
Cl1 0.000 0.000 0.296 1
```


# LaNdPtCl

A geometry-optimized LaNdPtCl structure (GGA-PBE, Alexandria via LeMat-Bulk).

CIF file:
```
data_LaNdPtCl
_chemical_formula_sum 'La3 Nd3 Pt3 Cl3'
_cell_length_a 4.1722
_cell_length_b 4.1722
_cell_length_c 23.1800
_cell_angle_alpha 90.00
_cell_angle_beta 90.00
_cell_angle_gamma 120.00
_space_group_name_H-M_alt 'R 3 m'
_space_group_IT_number 160
_space_group_name_Hall 'R 3 -2"'
loop_
_atom_site_label
_atom_site_fract_x
_atom_site_fract_y
_atom_site_fract_z
_atom_site_occupancy
La1 0.0000 0.0000 0.0000 1
Nd1 0.0000 0.0000 0.8055 1
Pt1 0.0000 0.0000 0.4034 1
Cl1 0.0000 0.0000 0.2324 1
```


Number 1: uncorrected formation energy -3.2593 eV/atom, DOS(E_F) 0.000 states/eV/f.u., E -7.80 eV/atom. Number 2: uncorrected formation energy -1.4816 eV/atom, DOS(E_F) 3.799 states/eV/f.u., E -5.64 eV/atom. Number 3: uncorrected formation energy -1.3629 eV/atom, DOS(E_F) 3.893 states/eV/f.u., E -5.76 eV/atom.